## Sc3BW (PBE)

Data for an optimized crystal structure of Sc3BW.

```
5
Lattice="5.0044 0.0000 0.0000 0.0000 5.0044 0.0000 0.0000 0.0000 5.0044" Properties=species:S:1:pos:R:3 pbc="T T T"
Sc 0.0000 2.5022 0.0000
W 0.0000 0.0000 0.0000
B 2.5022 2.5022 2.5022
Sc 0.0000 0.0000 2.5022
Sc 2.5022 0.0000 0.0000
```

## Properties
- DFT total energy (eV/atom) = -6.310
- calculated volume (Å³/f.u.) = 125.3
- ΔH_f (0 K) (kJ/mol of formula units) = 683
- DOS at the Fermi energy (states/eV/f.u.) = 8.96
- space group = Pm-3m (221)